Below is crystalline SrZnOs2O8 at its relaxed geometry, with properties calculated at the PBE level.

## Properties
volume	15.4	Å³ per atom
formation energy without anion corrections	-1270.7	meV/atom
SG	C2/m (12)

Structure (extended XYZ):
```
12
Lattice="3.9469 -3.0355 0.0000 3.9469 3.0355 0.0000 -0.2594 0.0000 7.7289" Properties=species:S:1:pos:R:3 pbc="T T T"
Sr 0.0000 0.0000 0.0000
Zn -0.1297 0.0000 3.8644
Os 2.8541 0.0000 2.0903
Os 4.7803 0.0000 5.6386
O 3.4891 1.6900 2.1974
O 1.9025 0.0000 3.6000
O 4.1453 1.6900 5.5315
O 2.5125 0.0000 0.3281
O 5.1219 0.0000 7.4008
O 3.4891 -1.6900 2.1974
O 5.7319 0.0000 4.1289
O 4.1453 -1.6900 5.5315
```